(1)
ThCr2IrO8: optimized geometry, GGA+U.

The structure in CIF format:
```
data_ThCr2IrO8
_cell_length_a 6.6886
_cell_length_b 6.7362
_cell_length_c 6.5030
_cell_angle_alpha 90.00
_cell_angle_beta 90.00
_cell_angle_gamma 90.00
_symmetry_space_group_name_H-M 'C m m m'
_symmetry_Int_Tables_number 65
_symmetry_space_group_name_Hall '-C 2 2'
loop_
_atom_site_label
_atom_site_type_symbol
_atom_site_fract_x
_atom_site_fract_y
_atom_site_fract_z
_atom_site_occupancy
Th1 Th 0.0000 0.0000 0.0000 1
Cr1 Cr 0.0000 0.5000 0.2581 1
Ir1 Ir 0.0000 0.0000 0.5000 1
O1 O 0.0000 0.2944 0.5000 1
O2 O 0.0000 0.3260 0.0000 1
O3 O 0.2054 0.0000 0.2856 1
```

***

(2)
Ti2CrIrO: optimized geometry, GGA+U.

The structure in CIF format:
```
data_Ti2CrIrO
_cell_length_a 4.1155
_cell_length_b 4.1155
_cell_length_c 3.9730
_cell_angle_alpha 90.00
_cell_angle_beta 90.00
_cell_angle_gamma 90.00
_symmetry_space_group_name_H-M 'P 4/m m m'
_symmetry_Int_Tables_number 123
_symmetry_space_group_name_Hall '-P 4 2'
loop_
_atom_site_label
_atom_site_type_symbol
_atom_site_fract_x
_atom_site_fract_y
_atom_site_fract_z
_atom_site_occupancy
Ti1 Ti 0.0000 0.5000 0.0000 1
Cr1 Cr 0.0000 0.0000 0.5000 1
Ir1 Ir 0.5000 0.5000 0.5000 1
O1 O 0.0000 0.0000 0.0000 1
```

***

(3)
TlCrIrO6: optimized geometry, GGA+U.

The structure in CIF format:
```
data_TlCrIrO6
_cell_length_a 5.2152
_cell_length_b 5.2152
_cell_length_c 4.7861
_cell_angle_alpha 90.00
_cell_angle_beta 90.00
_cell_angle_gamma 120.00
_symmetry_space_group_name_H-M 'P 3 1 2'
_symmetry_Int_Tables_number 149
loop_
_symmetry_equiv_pos_as_xyz
'x,y,z'
'-y,x-y,z'
'-x+y,-x,z'
'-y,-x,-z'
'-x+y,y,-z'
'x,x-y,-z'
loop_
_atom_site_label
_atom_site_type_symbol
_atom_site_fract_x
_atom_site_fract_y
_atom_site_fract_z
_atom_site_occupancy
Tl1 Tl 0.0000 0.0000 0.0000 1
Cr1 Cr 0.3333 0.6667 0.5000 1
Ir1 Ir 0.6667 0.3333 0.5000 1
O1 O 0.3731 0.0058 0.7236 1
```

***

(4)
TlCr2IrO8: optimized geometry, GGA+U.

The structure in CIF format:
```
data_TlCr2IrO8
_cell_length_a 4.6296
_cell_length_b 6.4733
_cell_length_c 4.6354
_cell_angle_alpha 90.00
_cell_angle_beta 90.67
_cell_angle_gamma 90.00
_symmetry_space_group_name_H-M 'P 1 2/m 1'
_symmetry_Int_Tables_number 10
loop_
_symmetry_equiv_pos_as_xyz
'x,y,z'
'-x,-y,-z'
'-x,y,-z'
'x,-y,z'
loop_
_atom_site_label
_atom_site_type_symbol
_atom_site_fract_x
_atom_site_fract_y
_atom_site_fract_z
_atom_site_occupancy
Tl1 Tl 0.0000 0.0000 0.0000 1
Cr1 Cr 0.5000 0.2552 0.5000 1
Ir1 Ir 0.0000 0.5000 0.0000 1
O1 O 0.2045 0.2861 0.7970 1
O2 O 0.2987 0.5000 0.3000 1
O3 O 0.3235 0.0000 0.3252 1
```

***

Fermi-level density of states per entry: 7.1, 3.6, 4.9, 5.0 states/eV per cell
E per entry: -7.759, -8.456, -6.358, -6.568 eV per atom